TiAgPd2: relaxed, GGA-PBE.

For the density, the calculation gives 9.6 Mg/m³. The space group is No. 123. The density of states at the Fermi level comes out at 4.5 states/eV/f.u. The value obtained for the energy above the most stable polymorph in this dataset is 90 meV per atom. The calculation puts the formation energy at -0.30 eV/atom.

Lattice parameters (Å, degrees): 4.1029 4.1029 3.7884 90.00 90.00 90.00
With the nearest neighbours (Å) after each atom.
Fractional positions:
Ti  0.0000  0.0000  0.0000  8 Pd 2.79, 4 Ag 2.90
Ag  0.5000  0.5000  0.0000  8 Pd 2.79, 4 Ti 2.90
Pd  0.0000  0.5000  0.5000  4 Ag 2.79, 4 Ti 2.79, 4 Pd 2.90
Pd  0.5000  0.0000  0.5000  4 Ag 2.79, 4 Ti 2.79, 4 Pd 2.90

***

TiAgPd2: relaxed, GGA-PBE.

For the density, the calculation gives 8.9 Mg/m³. The space group is No. 63. The density of states at the Fermi level comes out at 4.0 states/eV/f.u. The value obtained for the energy above the most stable polymorph in this dataset is 208 meV per atom. The calculation puts the formation energy at -0.18 eV/atom.

Lattice parameters (Å, degrees): 10.6710 10.6710 4.6946 90.00 90.00 165.04
With the nearest neighbours (Å) after each atom.
Fractional positions:
Ti  0.2058  0.7942  0.7500  7 Pd 2.51-2.80, 2 Ti 2.78
Ti  0.7942  0.2058  0.2500  7 Pd 2.51-2.80, 2 Ti 2.78
Ag  0.4649  0.5351  0.7500  4 Pd 2.73-2.97, 4 Ag 2.78
Ag  0.5351  0.4649  0.2500  4 Pd 2.73-2.97, 4 Ag 2.78
Pd  0.3244  0.6756  0.7500  5 Ti 2.51-2.80, 2 Pd 2.78
Pd  0.3987  0.6013  0.2500  2 Ti 2.61, 3 Ag 2.73-2.89, 4 Pd 2.78-2.83
Pd  0.6013  0.3987  0.7500  2 Ti 2.61, 3 Ag 2.73-2.89, 4 Pd 2.78-2.83
Pd  0.6756  0.3244  0.2500  5 Ti 2.51-2.80, 2 Pd 2.78

***

TiAg3Pd6: relaxed, GGA-PBE.

For the density, the calculation gives 10.4 Mg/m³. The space group is No. 11. The density of states at the Fermi level comes out at 4.5 states/eV/f.u. The calculation puts the formation energy at -0.26 eV/atom.

Lattice parameters (Å, degrees): 8.8071 4.0487 9.0537 90.00 92.31 90.00
With the nearest neighbours (Å) after each atom.
Fractional positions:
Ti  0.0653  0.2500  0.3724  9 Pd 2.57-2.81
Ti  0.9347  0.7500  0.6276  9 Pd 2.57-2.81
Ag  0.2487  0.2500  0.9950  10 Pd 2.82-3.00, 2 Ag 2.87
Ag  0.3458  0.7500  0.7944  8 Pd 2.81-2.95, 4 Ag 2.86-2.87
Ag  0.4474  0.2500  0.5982  8 Pd 2.81-3.03, 4 Ag 2.86-2.87
Ag  0.5526  0.7500  0.4018  8 Pd 2.81-3.03, 4 Ag 2.86-2.87
Ag  0.6542  0.2500  0.2056  8 Pd 2.81-2.95, 4 Ag 2.86-2.87
Ag  0.7513  0.7500  0.0050  10 Pd 2.82-3.00, 2 Ag 2.87
Pd  0.0476  0.7500  0.8946  1 Ti 2.58, 3 Pd 2.79-2.88, 4 Ag 2.81-2.83
Pd  0.1283  0.2500  0.6797  3 Ti 2.68-2.81, 5 Pd 2.73-2.92, 3 Ag 2.93-2.95
Pd  0.1513  0.7500  0.2000  2 Ti 2.68, 8 Pd 2.72-2.88, 2 Ag 2.90
Pd  0.2260  0.7500  0.4949  3 Ti 2.68-2.88, 5 Pd 2.72-2.90, 3 Ag 2.87-2.94
Pd  0.3444  0.2500  0.3009  1 Ti 2.57, 2 Pd 2.78, 4 Ag 2.81-2.86
Pd  0.4488  0.7500  0.1001  5 Pd 2.81-2.89, 7 Ag 2.82-2.88
Pd  0.5512  0.2500  0.8999  5 Pd 2.81-2.89, 7 Ag 2.82-2.88
Pd  0.6556  0.7500  0.6991  1 Ti 2.57, 2 Pd 2.78, 4 Ag 2.81-2.86
Pd  0.7740  0.2500  0.5051  3 Ti 2.68-2.88, 5 Pd 2.72-2.90, 3 Ag 2.87-2.94
Pd  0.8487  0.2500  0.8000  2 Ti 2.68, 8 Pd 2.72-2.88, 2 Ag 2.90
Pd  0.8717  0.7500  0.3203  3 Ti 2.68-2.81, 5 Pd 2.73-2.92, 3 Ag 2.93-2.95
Pd  0.9524  0.2500  0.1054  1 Ti 2.58, 3 Pd 2.79-2.88, 4 Ag 2.81-2.83

***

TiAg2Pd: relaxed, GGA-PBE.

For the density, the calculation gives 9.1 Mg/m³. The space group is No. 99. The density of states at the Fermi level comes out at 2.1 states/eV/f.u. The value obtained for the energy above the most stable polymorph in this dataset is 0 meV per atom. The calculation puts the formation energy at -0.17 eV/atom.

Lattice parameters (Å, degrees): 2.9204 2.9204 7.9486 90.00 90.00 90.00
With the nearest neighbours (Å) after each atom.
Fractional positions:
Ti  0.0000  0.0000  0.0000  4 Pd 2.68, 4 Ti 2.92, 4 Ag 2.93
Ag  0.0000  0.0000  0.5254  4 Pd 2.91, 8 Ag 2.92-2.94
Ag  0.5000  0.5000  0.2613  8 Ag 2.92-2.94, 4 Ti 2.93
Pd  0.5000  0.5000  0.7842  4 Ti 2.68, 4 Ag 2.91, 4 Pd 2.92

***

TiAgPd2: relaxed, GGA-PBE.

For the density, the calculation gives 9.4 Mg/m³. The space group is No. 8. The density of states at the Fermi level comes out at 2.6 states/eV/f.u. The value obtained for the energy above the most stable polymorph in this dataset is 86 meV per atom. The calculation puts the formation energy at -0.30 eV/atom.

Lattice parameters (Å, degrees): 2.8831 2.8831 9.1945 99.05 99.05 59.85
With the nearest neighbours (Å) after each atom.
Fractional positions:
Ti  0.0000  0.0000  0.0000  6 Pd 2.67-2.68, 6 Ti 2.88
Ag  0.8331  0.8331  0.4999  6 Ag 2.88, 6 Pd 2.93-2.94
Pd  0.4087  0.4087  0.2324  3 Ti 2.67-2.68, 6 Pd 2.88, 3 Ag 2.93-2.94
Pd  0.5915  0.5915  0.7677  3 Ti 2.67-2.68, 6 Pd 2.88, 3 Ag 2.93-2.94

***

TiAg2Pd2: relaxed, GGA-PBE.

For the density, the calculation gives 9.1 Mg/m³. The space group is No. 127. The density of states at the Fermi level comes out at 5.2 states/eV/f.u. The value obtained for the energy above the most stable polymorph in this dataset is 133 meV per atom. The calculation puts the formation energy at 0.09 eV/atom.

Lattice parameters (Å, degrees): 7.6419 7.6419 2.9771 90.00 90.00 90.00
With the nearest neighbours (Å) after each atom.
Fractional positions:
Ti  0.0000  0.0000  0.0000  2 Ti 2.98, 4 Ag 3.01, 8 Pd 3.20
Ti  0.5000  0.5000  0.0000  2 Ti 2.98, 4 Ag 3.01, 8 Pd 3.20
Ag  0.1276  0.3724  0.0000  6 Pd 2.64-2.75, 1 Ag 2.76
Ag  0.3724  0.8724  0.0000  6 Pd 2.64-2.75, 1 Ag 2.76
Ag  0.6276  0.1276  0.0000  6 Pd 2.64-2.75, 1 Ag 2.76
Ag  0.8724  0.6276  0.0000  6 Pd 2.64-2.75, 1 Ag 2.76
Pd  0.1711  0.6711  0.5000  6 Ag 2.64-2.75
Pd  0.3289  0.1711  0.5000  6 Ag 2.64-2.75
Pd  0.6711  0.8289  0.5000  6 Ag 2.64-2.75
Pd  0.8289  0.3289  0.5000  6 Ag 2.64-2.75

***

Ti3AgPd: relaxed, GGA-PBE.

For the density, the calculation gives 5.5 Mg/m³. The space group is No. 221. The density of states at the Fermi level comes out at 7.0 states/eV/f.u. The value obtained for the energy above the most stable polymorph in this dataset is 0 meV per atom. The calculation puts the formation energy at 0.63 eV/atom.

Lattice parameters (Å, degrees): 4.7727 4.7727 4.7727 90.00 90.00 90.00
With the nearest neighbours (Å) after each atom.
Fractional positions:
Ti  0.0000  0.0000  0.5000  2 Pd 2.39
Ti  0.0000  0.5000  0.0000  2 Pd 2.39
Ti  0.5000  0.0000  0.0000  2 Pd 2.39
Ag  0.5000  0.5000  0.5000  12 Ti 3.37
Pd  0.0000  0.0000  0.0000  6 Ti 2.39

***

TiAgPd2: relaxed, GGA-PBE.

For the density, the calculation gives 9.4 Mg/m³. The space group is No. 123. The density of states at the Fermi level comes out at 2.7 states/eV/f.u. The value obtained for the energy above the most stable polymorph in this dataset is 0 meV per atom. The calculation puts the formation energy at -0.39 eV/atom.

Lattice parameters (Å, degrees): 3.1654 3.1654 6.5053 90.00 90.00 90.00
With the nearest neighbours (Å) after each atom.
Fractional positions:
Ti  0.0000  0.0000  0.0000  8 Pd 2.68
Ag  0.0000  0.0000  0.5000  8 Pd 2.86, 4 Ag 3.17
Pd  0.5000  0.5000  0.2266  4 Ti 2.68, 4 Ag 2.86, 1 Pd 2.95
Pd  0.5000  0.5000  0.7734  4 Ti 2.68, 4 Ag 2.86, 1 Pd 2.95